A plane-wave DFT calculation with GGA-PBE was carried out for TbGa5Cu2Pd after structural relaxation.

Output
spin magnetization	0.000	μB per cell
D(E_F)	3.99	states/eV per cell
ΔH_f (0 K)	-153	meV per atom

Lattice parameters (Å, degrees): 4.1669 4.1669 10.2214 90.00 90.00 90.00
Positions (direct):
Tb: 0.0000 0.0000 0.0000
Ga: 0.0000 0.5000 0.3472
Ga: 0.0000 0.5000 0.6528
Ga: 0.5000 0.0000 0.3472
Ga: 0.5000 0.0000 0.6528
Ga: 0.5000 0.5000 0.0000
Cu: 0.5000 0.5000 0.2219
Cu: 0.5000 0.5000 0.7781
Pd: 0.0000 0.0000 0.5000